# 1
This record from Alexandria via LeMat-Bulk describes a relaxed CaHfUS6 crystal. The functional is GGA-PBE.

Its crystal system is trigonal. The value obtained for the uncorrected formation energy is -1.46 eV per atom. Its total energy is -122.34 eV/cell.

Lattice parameters (Å, degrees): 6.563 6.563 12.313 90.00 90.00 120.00
Fractional coordinates of all 18 atoms:
Ca 0.000 0.000 0.000
Ca 0.000 0.000 0.500
Hf 0.333 0.667 0.250
Hf 0.667 0.333 0.750
U 0.333 0.667 0.750
U 0.667 0.333 0.250
S 0.002 0.365 0.132
S 0.002 0.636 0.368
S 0.364 0.365 0.368
S 0.364 0.998 0.132
S 0.365 0.002 0.632
S 0.365 0.364 0.868
S 0.635 0.636 0.132
S 0.635 0.998 0.368
S 0.636 0.002 0.868
S 0.636 0.635 0.632
S 0.998 0.364 0.632
S 0.998 0.635 0.868

# 2
This record from Alexandria via LeMat-Bulk describes a relaxed CaHfSb3 crystal. The functional is GGA-PBE.

Its crystal system is cubic. The value obtained for the uncorrected formation energy is -0.16 eV per atom. The energy above the most stable polymorph in this dataset comes out at 0 meV/atom. Its total energy is -25.14 eV/cell.

Lattice parameters (Å, degrees): 5.526 5.526 5.526 90.00 90.00 90.00
Fractional coordinates of all 5 atoms:
Ca 0.000 0.000 0.000
Hf 0.500 0.500 0.500
Sb 0.000 0.500 0.500
Sb 0.500 0.000 0.500
Sb 0.500 0.500 0.000

# 3
This record from Alexandria via LeMat-Bulk describes a relaxed Ca2HfSb2 crystal. The functional is GGA-PBE.

Its crystal system is tetragonal. The value obtained for the uncorrected formation energy is -0.63 eV per atom. Its total energy is -50.73 eV/cell.

Lattice parameters (Å, degrees): 7.838 7.838 4.518 90.00 90.00 90.00
Fractional coordinates of all 10 atoms:
Ca 0.156 0.344 0.000
Ca 0.344 0.844 0.000
Ca 0.656 0.156 0.000
Ca 0.844 0.656 0.000
Hf 0.000 0.000 0.500
Hf 0.500 0.500 0.500
Sb 0.155 0.655 0.500
Sb 0.345 0.155 0.500
Sb 0.655 0.845 0.500
Sb 0.845 0.345 0.500